1.
BaMn2Tc (PBE, optimized geometry); V = 79 Å³ per cell; spin magnetization = 5.01 μB per formula unit; final energy = -28.05 eV/f.u.; calculated formation energy = 643.8 meV per atom
1.0
3.110 0.000 0.000
0.000 3.110 0.000
0.000 0.000 8.120
Ba Mn Tc
1 2 1
direct
0.500 0.500 0.737
0.500 0.500 0.268
0.000 0.000 0.083
0.000 0.000 0.412



2.
YMn2Re (PBE, optimized geometry); V = 63 Å³ per cell; spin magnetization = 3.40 μB per formula unit; final energy = -35.54 eV/f.u.; calculated formation energy = 427.6 meV per atom
1.0
-0.760 6.628 -2.622
-2.302 -2.148 3.382
0.761 2.139 1.879
Re Mn Y
1 2 1
direct
0.000 0.500 0.500
0.000 0.000 0.000
0.500 0.000 0.500
0.500 0.500 0.000



3.
Ce2NiMoN5 (PBE, optimized geometry); V = 215 Å³ per cell; spin magnetization = 0.00 μB per formula unit; final energy = -76.66 eV/f.u.; formation energy without anion corrections = -70.3 kJ per mole of atoms
1.0
-0.122 0.761 3.168
-6.178 -2.058 -1.421
2.635 -9.567 2.401
Ce N Ni Mo
4 10 2 2
direct
0.857 0.714 0.811
0.143 0.286 0.311
0.106 0.211 0.686
0.894 0.789 0.186
0.513 0.025 0.271
0.632 0.263 0.498
0.676 0.351 0.876
0.487 0.975 0.771
0.368 0.737 0.998
0.282 0.564 0.653
0.324 0.649 0.376
0.945 0.890 0.562
0.055 0.110 0.062
0.718 0.436 0.153
0.526 0.053 0.950
0.474 0.947 0.450
0.195 0.390 0.018
0.805 0.610 0.518



4.
SrLiInAu3 (PBE, optimized geometry); V = 280 Å³ per cell; spin magnetization = 0.00 μB per formula unit; final energy = -18.76 eV/f.u.; calculated formation energy = -433.0 meV per atom
1.0
-2.805 -6.722 -0.600
3.997 -1.268 -4.479
2.085 -1.448 6.473
In Au Li Sr
2 6 2 2
direct
0.750 0.631 0.262
0.250 0.369 0.738
0.500 0.252 0.000
0.250 0.148 0.297
0.750 0.852 0.703
0.000 0.252 0.000
0.000 0.748 0.000
0.500 0.748 0.000
0.750 0.067 0.134
0.250 0.933 0.866
0.750 0.317 0.635
0.250 0.683 0.365